Record 1
# Er3Fe4Co4

A relaxed structure of Er3Fe4Co4 (PBE-GGA, Alexandria).

POSCAR file:
```
Er3Fe4Co4
1.0
-3.550 3.550 3.550
3.550 -3.550 3.550
3.550 3.550 -3.550
Er Fe Co
3 4 4
direct
0.000 0.500 0.500
0.500 0.000 0.500
0.500 0.500 0.000
0.000 0.000 0.738
0.000 0.738 0.000
0.262 0.262 0.262
0.738 0.000 0.000
0.000 0.000 0.378
0.000 0.378 0.000
0.378 0.000 0.000
0.622 0.622 0.622
```

Values from the calculation:
As for the magnetization: 11.67 μB per cell. The density of states at the Fermi level comes out at 16.16 states/eV per cell. The formation energy comes out at -0.7 kJ/mol of atoms. The mass density comes out at 8.914 Mg/m³. The space-group type is I-43m, No. 217.



Record 2
# Er3Fe2Co7

A relaxed structure of Er3Fe2Co7 (PBE-GGA, Alexandria).

POSCAR file:
```
Er3Fe2Co7
1.0
2.517 1.453 7.915
-2.517 1.453 7.915
0.000 -2.906 7.915
Er Fe Co
3 2 7
direct
0.000 0.000 0.000
0.141 0.141 0.141
0.859 0.859 0.859
0.334 0.334 0.334
0.666 0.666 0.666
0.079 0.584 0.584
0.416 0.416 0.921
0.416 0.921 0.416
0.500 0.500 0.500
0.584 0.079 0.584
0.584 0.584 0.079
0.921 0.416 0.416
```

Values from the calculation:
As for the magnetization: 12.78 μB per cell. The density of states at the Fermi level comes out at 14.41 states/eV per cell. The formation energy comes out at -20.3 kJ/mol of atoms. The mass density comes out at 9.809 Mg/m³. The space-group type is R-3m, No. 166.



Record 3
# ErFe2Co2

A relaxed structure of ErFe2Co2 (PBE-GGA, Alexandria).

POSCAR file:
```
ErFe2Co2
1.0
-1.952 1.952 9.705
1.952 -1.952 9.705
1.952 1.952 -9.705
Er Fe Co
2 4 4
direct
0.127 0.127 0.000
0.873 0.873 0.000
0.000 0.500 0.500
0.315 0.315 0.000
0.500 0.000 0.500
0.685 0.685 0.000
0.250 0.750 0.500
0.432 0.432 0.000
0.568 0.568 0.000
0.750 0.250 0.500
```

Values from the calculation:
As for the magnetization: 13.21 μB per cell. The density of states at the Fermi level comes out at 9.32 states/eV per cell. The formation energy comes out at -5.4 kJ/mol of atoms. The mass density comes out at 8.908 Mg/m³. The space-group type is I4/mmm, No. 139.



Record 4
# ErFe2Co3

A relaxed structure of ErFe2Co3 (PBE-GGA, Alexandria).

POSCAR file:
```
ErFe2Co3
1.0
4.651 -3.963 0.000
4.651 3.963 0.000
0.000 0.000 4.651
Er Fe Co
2 4 6
direct
0.191 0.809 0.750
0.809 0.191 0.250
0.281 0.281 0.000
0.281 0.281 0.500
0.719 0.719 0.000
0.719 0.719 0.500
0.041 0.564 0.250
0.436 0.959 0.250
0.438 0.562 0.250
0.562 0.438 0.750
0.564 0.041 0.750
0.959 0.436 0.750
```

Values from the calculation:
As for the magnetization: 13.44 μB per cell. The density of states at the Fermi level comes out at 15.31 states/eV per cell. The formation energy comes out at -1.8 kJ/mol of atoms. The mass density comes out at 8.828 Mg/m³. The space-group type is Cmcm, No. 63.



no.,E_tot (eV/atom)
1,-6.91
2,-6.91
3,-7.20
4,-7.15